No. 1
Here is Sc2TaCd after structural relaxation from the Alexandria database. Energies are from PBE.

Cell and atoms, written as CIF:
```
data_Sc2TaCd
_cell_length_a 3.1458
_cell_length_b 3.1458
_cell_length_c 30.2725
_cell_angle_alpha 90.00
_cell_angle_beta 90.00
_cell_angle_gamma 120.00
_space_group_name_H-M_alt 'R -3 m'
_space_group_IT_number 166
_space_group_name_Hall '-R 3 2"'
loop_
_atom_site_label
_atom_site_type_symbol
_atom_site_fract_x
_atom_site_fract_y
_atom_site_fract_z
_atom_site_occupancy
Sc1 Sc 0.0000 0.0000 0.2463 1
Ta1 Ta 0.0000 0.0000 0.5000 1
Cd1 Cd 0.0000 0.0000 0.0000 1
```

Values from the calculation:
Volume, Å³ per cell: 259.44
Uncorrected energy, eV per formula unit: -25.25
Formation energy, kJ/mol of atoms: 4.3

***

No. 2
Here is TiHPt2 after structural relaxation from the Alexandria database. Energies are from PBE.

Cell and atoms, written as CIF:
```
data_TiHPt2
_cell_length_a 2.8321
_cell_length_b 2.8321
_cell_length_c 22.8753
_cell_angle_alpha 90.00
_cell_angle_beta 90.00
_cell_angle_gamma 120.00
_space_group_name_H-M_alt 'R -3 m'
_space_group_IT_number 166
_space_group_name_Hall '-R 3 2"'
loop_
_atom_site_label
_atom_site_type_symbol
_atom_site_fract_x
_atom_site_fract_y
_atom_site_fract_z
_atom_site_occupancy
Ti1 Ti 0.0000 0.0000 0.0000 1
H1 H 0.0000 0.0000 0.5000 1
Pt1 Pt 0.0000 0.0000 0.1078 1
```

Values from the calculation:
Volume, Å³ per cell: 158.89
Uncorrected energy, eV per formula unit: -23.32
Offset from the most stable computed form, meV/atom: 383

***

No. 3
Here is TiInCuPb2 after structural relaxation from the Alexandria database. Energies are from PBE.

Cell and atoms, written as CIF:
```
data_TiInCuPb2
_cell_length_a 5.381
_cell_length_b 5.381
_cell_length_c 5.046
_cell_angle_alpha 90.00
_cell_angle_beta 90.00
_cell_angle_gamma 90.00
_space_group_name_H-M_alt 'P 4/m m m'
_space_group_IT_number 123
_space_group_name_Hall '-P 4 2'
loop_
_atom_site_label
_atom_site_type_symbol
_atom_site_fract_x
_atom_site_fract_y
_atom_site_fract_z
_atom_site_occupancy
Ti1 Ti 0.000 0.000 0.000 1
In1 In 0.500 0.500 0.000 1
Cu1 Cu 0.500 0.500 0.500 1
Pb1 Pb 0.000 0.500 0.500 1
```

Values from the calculation:
Volume, Å³ per cell: 146.13
Uncorrected energy, eV per formula unit: -18.72
Formation energy, kJ/mol of atoms: 66.1